Entry 1:
NaLaCdF6: optimized geometry, GGA-PBE.

It has space group P-31c (No. 163), with a = 6.1627 Å, b = 6.1627 Å, c = 9.2087 Å, α = 90.00°, β = 90.00° and γ = 120.00°. Symmetry generates all atoms from Na at (0.0000, 0.0000, 0.0000), La at (0.3333, 0.6667, 0.2500), Cd at (0.3333, 0.6667, 0.7500) and F at (0.0095, 0.3478, 0.6288).

For the volume, the calculation gives 16.8 Å³ per atom. As for the uncorrected formation energy: -300.13 kJ/mol of atoms. Its total energy is -5.154 eV per atom.



Entry 2:
LaEr: optimized geometry, GGA-PBE.

It has space group R-3m (No. 166, hexagonal axes), with a = 5.7703 Å, b = 5.7703 Å, c = 14.3078 Å, α = 90.00°, β = 90.00° and γ = 120.00°. Symmetry generates all atoms from La at (0.0000, 0.0000, 0.1158) and Er at (0.0000, 0.0000, 0.3682).

For the volume, the calculation gives 34.4 Å³ per atom. Its total energy is -4.587 eV per atom. The formation energy comes out at 158 meV/atom.



> Which formula does entry 2 have?

LaEr